#1
The following is a PBE calculation of HfCd2Au after structural relaxation, from the Alexandria database.

## Properties
- Magnetic moment: 0.00 Bohr magnetons per cell
- ρ: 12.27 g/cm3
- Density of states at the Fermi level: 3.4 states/eV/cell

Cell lengths 3.1181, 3.1181, 8.3543 Å; angles 90.00, 90.00, 90.00 degrees
Last column: nearest neighbours and their distance in Å.
Space group P4/mmm (No. 123)
Asymmetric unit:
1 Hf 0.0000 0.0000 0.0000 [1 per cell]  8 Cd 3.11, 4 Hf 3.12
2 Cd 0.5000 0.5000 0.2622 [2 per cell]  4 Au 2.97, 4 Hf 3.11, 4 Cd 3.12
3 Au 0.0000 0.0000 0.5000 [1 per cell]  8 Cd 2.97, 4 Au 3.12

=====

#2
The following is a PBE calculation of HfCd2Au after structural relaxation, from the Alexandria database.

## Properties
- Magnetic moment: 0.00 Bohr magnetons per cell
- ρ: 12.22 g/cm3
- Density of states at the Fermi level: 2.9 states/eV/cell

Cell lengths 4.1940, 4.1940, 4.6362 Å; angles 90.00, 90.00, 90.00 degrees
Last column: nearest neighbours and their distance in Å.
Space group P4/mmm (No. 123)
Asymmetric unit:
1 Hf 0.0000 0.0000 0.0000 [1 per cell]  4 Au 2.97, 8 Cd 3.13
2 Cd 0.0000 0.5000 0.5000 [2 per cell]  4 Cd 2.97, 4 Hf 3.13, 4 Au 3.13
3 Au 0.5000 0.5000 0.0000 [1 per cell]  4 Hf 2.97, 8 Cd 3.13

=====

It turns out #2 is the most stable, with the second structure 35 meV per atom higher.